VASP calculation (PBE) on crystalline Na2ZnMoPd at its relaxed geometry.

abc: 5.289 5.289 4.843
angles: 90.00 90.00 90.00
Atoms (fractional coordinates):
1 Na 0.000 0.500 0.000
2 Na 0.500 0.000 0.000
3 Zn 0.000 0.000 0.500
4 Mo 0.500 0.500 0.500
5 Pd 0.000 0.000 0.000

## Properties
Its space group is P4/mmm, No. 123. The density of states at the Fermi level comes out at 0.359 states/eV/atom. The value obtained for the calculated density is 3846 kg/m3. The formation energy is 22.33 kcal/mol of atoms.

---

VASP calculation (PBE) on crystalline Na2Mo2Pt at its relaxed geometry.

abc: 6.463 6.463 5.380
angles: 90.00 90.00 90.00
Atoms (fractional coordinates):
1 Na 0.183 0.317 0.000
2 Na 0.317 0.817 0.000
3 Na 0.683 0.183 0.000
4 Na 0.817 0.683 0.000
5 Mo 0.121 0.621 0.500
6 Mo 0.379 0.121 0.500
7 Mo 0.621 0.879 0.500
8 Mo 0.879 0.379 0.500
9 Pt 0.000 0.000 0.500
10 Pt 0.500 0.500 0.500

## Properties
The calculation puts the energy relative to the lowest polymorph listed for this composition at 0.000 eV per atom. Its space group is P4/mbm, No. 127. The density of states at the Fermi level comes out at 1.035 states/eV/atom. The value obtained for the calculated density is 6398 kg/m3. The formation energy is 15.23 kcal/mol of atoms.

---

VASP calculation (PBE) on crystalline Na2Mo2Pt at its relaxed geometry.

abc: 8.050 8.050 8.050
angles: 153.71 153.71 37.51
Atoms (fractional coordinates):
1 Na 0.250 0.750 0.500
2 Na 0.750 0.250 0.500
3 Mo 0.071 0.071 0.000
4 Mo 0.929 0.929 0.000
5 Pt 0.500 0.500 0.000

## Properties
The calculation puts the energy relative to the lowest polymorph listed for this composition at 0.218 eV per atom. Its space group is I4/mmm, No. 139. The density of states at the Fermi level comes out at 0.962 states/eV/atom. The value obtained for the calculated density is 7037 kg/m3. The formation energy is 20.26 kcal/mol of atoms.

---

VASP calculation (PBE) on crystalline NaMoPt2 at its relaxed geometry.

abc: 5.900 5.900 5.900
angles: 103.16 103.16 123.00
Atoms (fractional coordinates):
1 Na 0.000 0.000 0.000
2 Na 0.750 0.250 0.500
3 Mo 0.250 0.750 0.500
4 Mo 0.500 0.500 0.000
5 Pt 0.161 0.625 0.036
6 Pt 0.375 0.411 0.536
7 Pt 0.589 0.125 0.964
8 Pt 0.875 0.839 0.464

## Properties
The calculation puts the energy relative to the lowest polymorph listed for this composition at 0.295 eV per atom. Its space group is I-42d, No. 122. The density of states at the Fermi level comes out at 1.235 states/eV/atom. The value obtained for the calculated density is 11171 kg/m3. The formation energy is 10.62 kcal/mol of atoms.

---

VASP calculation (PBE) on crystalline NaMo2Pt at its relaxed geometry.

abc: 9.366 9.366 9.366
angles: 27.47 27.47 27.47
Atoms (fractional coordinates):
1 Na 0.000 0.000 0.000
2 Na 0.385 0.385 0.385
3 Mo 0.170 0.170 0.170
4 Mo 0.493 0.493 0.493
5 Mo 0.585 0.585 0.585
6 Mo 0.880 0.880 0.880
7 Pt 0.270 0.270 0.270
8 Pt 0.780 0.780 0.780

## Properties
The calculation puts the energy relative to the lowest polymorph listed for this composition at 0.142 eV per atom. Its space group is R3m, No. 160. The density of states at the Fermi level comes out at 0.650 states/eV/atom. The value obtained for the calculated density is 8826 kg/m3. The formation energy is 3.67 kcal/mol of atoms.

---

VASP calculation (PBE) on crystalline NaMo2Pt at its relaxed geometry.

abc: 4.453 4.453 9.125
angles: 90.00 90.00 120.00
Atoms (fractional coordinates):
1 Na 0.000 0.000 0.000
2 Na 0.333 0.667 0.182
3 Mo 0.000 0.000 0.651
4 Mo 0.333 0.667 0.523
5 Mo 0.667 0.333 0.479
6 Mo 0.667 0.333 0.755
7 Pt 0.000 0.000 0.357
8 Pt 0.333 0.667 0.816

## Properties
The calculation puts the energy relative to the lowest polymorph listed for this composition at 0.118 eV per atom. Its space group is P3m1, No. 156. The density of states at the Fermi level comes out at 0.664 states/eV/atom. The value obtained for the calculated density is 8687 kg/m3. The formation energy is 3.13 kcal/mol of atoms.

---

VASP calculation (PBE) on crystalline NaMo2Pt at its relaxed geometry.

abc: 2.745 5.381 9.995
angles: 82.37 84.85 79.41
Atoms (fractional coordinates):
1 Na 0.096 0.226 0.086
2 Na 0.904 0.774 0.914
3 Mo 0.124 0.625 0.604
4 Mo 0.261 0.075 0.619
5 Mo 0.739 0.925 0.381
6 Mo 0.876 0.375 0.396
7 Pt 0.358 0.678 0.201
8 Pt 0.642 0.322 0.799

## Properties
The calculation puts the energy relative to the lowest polymorph listed for this composition at 0.019 eV per atom. Its space group is P-1, No. 2. The density of states at the Fermi level comes out at 0.601 states/eV/atom. The value obtained for the calculated density is 9487 kg/m3. The formation energy is 0.84 kcal/mol of atoms.

---

VASP calculation (PBE) on crystalline NaMo2Pt at its relaxed geometry.

abc: 5.944 5.944 5.944
angles: 100.77 100.77 128.77
Atoms (fractional coordinates):
1 Na 0.000 0.000 0.000
2 Na 0.750 0.250 0.500
3 Mo 0.163 0.125 0.538
4 Mo 0.375 0.837 0.962
5 Mo 0.587 0.625 0.462
6 Mo 0.875 0.413 0.038
7 Pt 0.250 0.750 0.500
8 Pt 0.500 0.500 0.000

## Properties
The calculation puts the energy relative to the lowest polymorph listed for this composition at 0.862 eV per atom. Its space group is I-42d, No. 122. The density of states at the Fermi level comes out at 1.038 states/eV/atom. The value obtained for the calculated density is 9222 kg/m3. The formation energy is 20.27 kcal/mol of atoms.

---

VASP calculation (PBE) on crystalline NaMo2Pt at its relaxed geometry.

abc: 8.926 8.926 8.926
angles: 29.71 29.71 29.71
Atoms (fractional coordinates):
1 Na 0.000 0.000 0.000
2 Na 0.378 0.378 0.378
3 Mo 0.157 0.157 0.157
4 Mo 0.252 0.252 0.252
5 Mo 0.788 0.788 0.788
6 Mo 0.880 0.880 0.880
7 Pt 0.490 0.490 0.490
8 Pt 0.602 0.602 0.602

## Properties
The calculation puts the energy relative to the lowest polymorph listed for this composition at 0.264 eV per atom. Its space group is R3m, No. 160. The density of states at the Fermi level comes out at 0.935 states/eV/atom. The value obtained for the calculated density is 8805 kg/m3. The formation energy is 6.49 kcal/mol of atoms.

---

VASP calculation (PBE) on crystalline NaMo2Pt at its relaxed geometry.

abc: 2.778 5.079 9.813
angles: 90.07 90.22 94.27
Atoms (fractional coordinates):
1 Na 0.000 0.000 0.000
2 Na 0.494 0.500 0.028
3 Mo 0.177 0.694 0.725
4 Mo 0.496 0.521 0.502
5 Mo 0.671 0.193 0.303
6 Mo 0.997 0.022 0.526
7 Pt 0.059 0.716 0.278
8 Pt 0.565 0.218 0.750

## Properties
The calculation puts the energy relative to the lowest polymorph listed for this composition at 0.094 eV per atom. Its space group is P1, No. 1. The density of states at the Fermi level comes out at 0.607 states/eV/atom. The value obtained for the calculated density is 9862 kg/m3. The formation energy is 2.57 kcal/mol of atoms.

---

VASP calculation (PBE) on crystalline NaMo2Pt at its relaxed geometry.

abc: 2.757 4.564 11.077
angles: 90.00 90.41 90.00
Atoms (fractional coordinates):
1 Na 0.000 0.000 0.000
2 Na 0.485 0.500 0.141
3 Mo 0.256 0.500 0.403
4 Mo 0.484 0.000 0.515
5 Mo 0.767 0.000 0.738
6 Mo 0.987 0.500 0.626
7 Pt 0.407 0.500 0.848
8 Pt 0.891 0.000 0.293

## Properties
The calculation puts the energy relative to the lowest polymorph listed for this composition at 0.063 eV per atom. Its space group is Pm, No. 6. The density of states at the Fermi level comes out at 0.613 states/eV/atom. The value obtained for the calculated density is 9767 kg/m3. The formation energy is 1.86 kcal/mol of atoms.

---

VASP calculation (PBE) on crystalline NaMo2Pt at its relaxed geometry.

abc: 8.398 8.398 8.398
angles: 30.95 30.95 30.95
Atoms (fractional coordinates):
1 Na 0.181 0.181 0.181
2 Na 0.819 0.819 0.819
3 Mo 0.050 0.050 0.050
4 Mo 0.312 0.312 0.312
5 Mo 0.688 0.688 0.688
6 Mo 0.950 0.950 0.950
7 Pt 0.425 0.425 0.425
8 Pt 0.575 0.575 0.575

## Properties
The calculation puts the energy relative to the lowest polymorph listed for this composition at 0.098 eV per atom. Its space group is R-3m, No. 166. The density of states at the Fermi level comes out at 0.614 states/eV/atom. The value obtained for the calculated density is 9795 kg/m3. The formation energy is 2.67 kcal/mol of atoms.